## AlPtC2 (GGA-PBEsol)

Data for crystalline AlPtC2 at its relaxed geometry.

Results
* ΔE_f: 0.7144 eV per atom
* crystal system: tetragonal

Lattice parameters (Å, degrees): 5.5871 5.5871 5.5871 130.09 130.09 73.26
With the nearest neighbours (Å) after each atom.
Atoms (fractional coordinates):
Al (0.0000, 0.0000, 0.0000)  4 C 2.02
Al (0.7500, 0.2500, 0.5000)  4 C 2.02
Pt (0.2500, 0.7500, 0.5000)  4 C 2.00
Pt (0.5000, 0.5000, 0.0000)  4 C 2.00
C (0.1298, 0.6250, 0.0048)  2 Pt 2.00, 2 Al 2.02
C (0.3750, 0.3798, 0.5048)  2 Pt 2.00, 2 Al 2.02
C (0.6202, 0.1250, 0.9952)  2 Pt 2.00, 2 Al 2.02
C (0.8750, 0.8702, 0.4952)  2 Pt 2.00, 2 Al 2.02

***

## Sc5P3 (GGA-PBEsol)

Data for crystalline Sc5P3 at its relaxed geometry.

Results
* ΔE_f: -1.2765 eV per atom
* crystal system: hexagonal

Lattice parameters (Å, degrees): 7.6342 7.6342 5.5009 90.00 90.00 120.00
With the nearest neighbours (Å) after each atom.
Atoms (fractional coordinates):
Sc (0.0000, 0.2514, 0.2500)  3 P 2.59-2.76
Sc (0.0000, 0.7486, 0.7500)  3 P 2.59-2.76
Sc (0.2514, 0.0000, 0.2500)  3 P 2.59-2.76
Sc (0.2514, 0.2514, 0.7500)  3 P 2.59-2.76
Sc (0.3333, 0.6667, 0.0000)  6 P 2.74, 2 Sc 2.75
Sc (0.3333, 0.6667, 0.5000)  6 P 2.74, 2 Sc 2.75
Sc (0.6667, 0.3333, 0.0000)  6 P 2.74, 2 Sc 2.75
Sc (0.6667, 0.3333, 0.5000)  6 P 2.74, 2 Sc 2.75
Sc (0.7486, 0.0000, 0.7500)  3 P 2.59-2.76
Sc (0.7486, 0.7486, 0.2500)  3 P 2.59-2.76
P (0.0000, 0.3864, 0.7500)  7 Sc 2.59-2.76
P (0.0000, 0.6136, 0.2500)  7 Sc 2.59-2.76
P (0.3864, 0.0000, 0.7500)  7 Sc 2.59-2.76
P (0.3864, 0.3864, 0.2500)  7 Sc 2.59-2.76
P (0.6136, 0.0000, 0.2500)  7 Sc 2.59-2.76
P (0.6136, 0.6136, 0.7500)  7 Sc 2.59-2.76

***

## Sc2Mo (GGA-PBEsol)

Data for crystalline Sc2Mo at its relaxed geometry.

Results
* ΔE_f: 0.4796 eV per atom
* offset from the most stable computed form: 431 meV per atom
* crystal system: tetragonal

Lattice parameters (Å, degrees): 4.7964 4.7964 2.9392 90.00 90.00 90.00
With the nearest neighbours (Å) after each atom.
Atoms (fractional coordinates):
Sc (0.0000, 0.5000, 0.0000)  4 Mo 2.81, 2 Sc 2.94
Sc (0.5000, 0.0000, 0.0000)  4 Mo 2.81, 2 Sc 2.94
Mo (0.0000, 0.0000, 0.5000)  8 Sc 2.81, 2 Mo 2.94

***

## Er4Ge6Os7 (GGA-PBEsol)

Data for crystalline Er4Ge6Os7 at its relaxed geometry.

Results
* ΔE_f: -0.4749 eV per atom
* crystal system: cubic

Lattice parameters (Å, degrees): 7.1371 7.1371 7.1371 109.47 109.47 109.47
With the nearest neighbours (Å) after each atom.
Atoms (fractional coordinates):
Er (0.0000, 0.0000, 0.5000)  6 Os 2.91, 6 Ge 2.95
Er (0.0000, 0.5000, 0.0000)  6 Os 2.91, 6 Ge 2.95
Er (0.5000, 0.0000, 0.0000)  6 Os 2.91, 6 Ge 2.95
Er (0.5000, 0.5000, 0.5000)  6 Os 2.91, 6 Ge 2.95
Ge (0.0000, 0.3094, 0.3094)  5 Os 2.55-2.59
Ge (0.0000, 0.6906, 0.6906)  5 Os 2.55-2.59
Ge (0.3094, 0.0000, 0.3094)  5 Os 2.55-2.59
Ge (0.3094, 0.3094, 0.0000)  5 Os 2.55-2.59
Ge (0.6906, 0.0000, 0.6906)  5 Os 2.55-2.59
Ge (0.6906, 0.6906, 0.0000)  5 Os 2.55-2.59
Os (0.0000, 0.0000, 0.0000)  6 Ge 2.55
Os (0.2500, 0.5000, 0.7500)  4 Ge 2.59
Os (0.2500, 0.7500, 0.5000)  4 Ge 2.59
Os (0.5000, 0.2500, 0.7500)  4 Ge 2.59
Os (0.5000, 0.7500, 0.2500)  4 Ge 2.59
Os (0.7500, 0.2500, 0.5000)  4 Ge 2.59
Os (0.7500, 0.5000, 0.2500)  4 Ge 2.59

***

## TeCl3 (GGA-PBEsol)

Data for crystalline TeCl3 at its relaxed geometry.

Results
* offset from the most stable computed form: 398 meV per atom
* crystal system: tetragonal
* uncorrected formation energy: 183 meV per atom

Lattice parameters (Å, degrees): 3.6997 3.6997 6.0929 90.00 90.00 90.00
With the nearest neighbours (Å) after each atom.
Atoms (fractional coordinates):
Te (0.0000, 0.0000, 0.0000)  10 Cl 2.98-3.05
Cl (0.0000, 0.0000, 0.5000)  2 Te 3.05, 8 Cl 3.08
Cl (0.5000, 0.5000, 0.2329)  5 Cl 2.84-3.08, 4 Te 2.98
Cl (0.5000, 0.5000, 0.7671)  5 Cl 2.84-3.08, 4 Te 2.98

***

## PtC5 (GGA-PBEsol)

Data for crystalline PtC5 at its relaxed geometry.

Results
* ΔE_f: 2.4086 eV per atom
* offset from the most stable computed form: 1739 meV per atom
* crystal system: tetragonal

Lattice parameters (Å, degrees): 3.3213 3.3213 5.2618 90.00 90.00 90.00
With the nearest neighbours (Å) after each atom.
Atoms (fractional coordinates):
Pt (0.0000, 0.0000, 0.0000)  2 C 1.98
C (0.0000, 0.0000, 0.3757)  1 C 1.31
C (0.0000, 0.0000, 0.6243)  1 C 1.31
C (0.5000, 0.5000, 0.2432)  1 C 1.35
C (0.5000, 0.5000, 0.5000)  2 C 1.35
C (0.5000, 0.5000, 0.7568)  1 C 1.35